VASP calculation (PBE-GGA) on BeTcCl after structural relaxation.

Values from the calculation:
Mass density in g/cm3: 4.5
Volume in Å³/atom: 17.5
Electronic total energy in eV per atom: -4.958
Size of the total moment in μB/cell: 0.000

Cell lengths 6.6432, 6.6432, 6.6432 Å; angles 154.92, 154.92, 35.77 degrees
Closest atoms and distances in Å follow each position.
Element x y z (fractional)
Cl: 0.2846 0.2846 0.0000  4 Tc 2.61, 1 Be 2.85, 4 Cl 2.88
Tc: 0.6561 0.6561 0.0000  4 Be 2.38, 4 Cl 2.61
Be: 0.0592 0.0592 0.0000  4 Tc 2.38

VASP calculation (PBE-GGA) on BeTc3Cl after structural relaxation.

Values from the calculation:
Mass density in g/cm3: 7.1
Volume in Å³/atom: 15.9
Electronic total energy in eV per atom: -6.064
Size of the total moment in μB/cell: 0.001

Cell lengths 4.2993, 4.2993, 4.2993 Å; angles 90.00, 90.00, 90.00 degrees
Closest atoms and distances in Å follow each position.
Element x y z (fractional)
Tc: 0.0000 0.5000 0.0000  2 Cl 2.15
Tc: 0.0000 0.0000 0.5000  2 Cl 2.15
Tc: 0.5000 0.0000 0.0000  2 Cl 2.15
Cl: 0.0000 0.0000 0.0000  6 Tc 2.15
Be: 0.5000 0.5000 0.5000  12 Tc 3.04

VASP calculation (PBE-GGA) on BeTeCl2 after structural relaxation.

Values from the calculation:
Mass density in g/cm3: 4.1
Volume in Å³/atom: 21.1
Electronic total energy in eV per atom: -2.094
Size of the total moment in μB/cell: 0.000

Cell lengths 3.2707, 4.3249, 5.9548 Å; angles 90.00, 90.00, 90.00 degrees
Closest atoms and distances in Å follow each position.
Element x y z (fractional)
Be: 0.5000 0.5000 0.7500  2 Te 2.98, 8 Cl 3.06, 2 Be 3.27
Cl: 0.0000 0.0000 0.5104  2 Cl 2.85-3.10, 4 Be 3.06, 4 Te 3.12
Cl: 0.0000 0.0000 0.9896  2 Cl 2.85-3.10, 4 Be 3.06, 4 Te 3.12
Te: 0.5000 0.5000 0.2500  2 Be 2.98, 8 Cl 3.12, 2 Te 3.27

VASP calculation (PBE-GGA) on BeTeCl after structural relaxation.

Values from the calculation:
Mass density in g/cm3: 3.4
Volume in Å³/atom: 27.8
Electronic total energy in eV per atom: -3.269
Size of the total moment in μB/cell: 0.000

Cell lengths 7.7581, 7.7581, 7.7581 Å; angles 154.99, 154.98, 35.67 degrees
Closest atoms and distances in Å follow each position.
Element x y z (fractional)
Te: 0.5631 0.5631 0.0000  4 Be 2.75
Cl: 0.2799 0.2799 0.0000  1 Be 1.82
Be: 0.1569 0.1569 0.0000  1 Cl 1.82

VASP calculation (PBE-GGA) on BeTeCl2 after structural relaxation.

Values from the calculation:
Mass density in g/cm3: 4.1
Volume in Å³/atom: 20.8
Electronic total energy in eV per atom: -2.065
Size of the total moment in μB/cell: 0.000

Cell lengths 5.4444, 5.4444, 5.4444 Å; angles 133.52, 133.52, 67.83 degrees
Closest atoms and distances in Å follow each position.
Element x y z (fractional)
Te: 0.2500 0.7500 0.5000  4 Be 3.04, 8 Cl 3.12
Be: 0.7500 0.2500 0.5000  4 Te 3.04, 8 Cl 3.12
Cl: 0.0000 0.0000 0.0000  4 Cl 3.04, 4 Be 3.12, 4 Te 3.12
Cl: 0.5000 0.5000 0.0000  4 Cl 3.04, 4 Te 3.12, 4 Be 3.12

VASP calculation (PBE-GGA) on BeTeCl2 after structural relaxation.

Values from the calculation:
Mass density in g/cm3: 3.3
Volume in Å³/atom: 26.1
Electronic total energy in eV per atom: -3.382
Size of the total moment in μB/cell: 0.289

Cell lengths 11.7022, 11.7022, 11.7022 Å; angles 15.87, 15.87, 15.87 degrees
Closest atoms and distances in Å follow each position.
Element x y z (fractional)
Be: 0.7500 0.7500 0.7500  6 Cl 2.25
Cl: 0.0469 0.0469 0.0469  3 Be 2.25
Cl: 0.4531 0.4531 0.4531  3 Be 2.25
Te: 0.2500 0.2500 0.2500  6 Te 3.23